*w*
Below is a relaxed structure of K2CaLa, with properties calculated at the PBE-GGA level.

Structure (POSCAR):
```
K2CaLa
1.0
2.028 -3.285 0.000
2.028 3.285 0.000
0.000 0.000 14.694
K Ca La
2 1 1
Direct
0.000 0.000 0.249
0.000 0.000 0.751
0.500 0.500 0.500
0.500 0.500 0.000
```

*x*
Below is a relaxed structure of K2CaLa, with properties calculated at the PBE-GGA level.

Structure (POSCAR):
```
K2CaLa
1.0
3.769 0.000 0.000
0.000 3.769 0.000
0.000 0.000 14.062
K Ca La
2 1 1
Direct
0.000 0.000 0.249
0.000 0.000 0.751
0.500 0.500 0.000
0.500 0.500 0.500
```

Bottom line: *w*, by a margin of 6.0 kJ/mol of atoms.

*w*
Below is a relaxed structure of K2CaLa, with properties calculated at the PBE-GGA level.

Structure (POSCAR):
```
K2CaLa
1.0
0.000 4.646 4.646
4.646 0.000 4.646
4.646 4.646 0.000
K Ca La
2 1 1
Direct
0.250 0.250 0.250
0.750 0.750 0.750
0.000 0.000 0.000
0.500 0.500 0.500
```

*x*
Below is a relaxed structure of K2CaLa, with properties calculated at the PBE-GGA level.

Structure (POSCAR):
```
K2CaLa
1.0
0.000 4.665 4.665
4.665 0.000 4.665
4.665 4.665 0.000
K Ca La
2 1 1
Direct
0.000 0.000 0.000
0.250 0.250 0.250
0.750 0.750 0.750
0.500 0.500 0.500
```

Bottom line: *x*, by a margin of 6.0 kJ/mol of atoms.

*w*
Below is a relaxed structure of K2CaLa, with properties calculated at the PBE-GGA level.

Structure (POSCAR):
```
K2CaLa
1.0
1.955 1.129 14.871
-1.955 1.129 14.871
0.000 -2.258 14.871
K Ca La
2 1 1
Direct
0.250 0.250 0.250
0.750 0.750 0.750
0.500 0.500 0.500
0.000 0.000 0.000
```

*x*
Below is a relaxed structure of K2CaLa, with properties calculated at the PBE-GGA level.

Structure (POSCAR):
```
K2CaLa
1.0
-2.669 2.669 6.964
2.669 -2.669 6.964
2.669 2.669 -6.964
K Ca La
2 1 1
Direct
0.250 0.750 0.500
0.750 0.250 0.500
0.000 0.000 0.000
0.500 0.500 0.000
```

*y*
Below is a relaxed structure of K2CaLa, with properties calculated at the PBE-GGA level.

Structure (POSCAR):
```
K2CaLa
1.0
-1.948 3.699 7.098
1.948 -3.699 7.098
1.948 3.699 -7.098
K Ca La
2 1 1
Direct
0.000 0.000 0.000
0.747 0.247 0.500
0.490 0.490 0.000
0.264 0.764 0.500
```

Bottom line: *w*, by a margin of 12.3 kJ/mol of atoms.

*w*
Below is a relaxed structure of K2CaLa, with properties calculated at the PBE-GGA level.

Structure (POSCAR):
```
K2CaLa
1.0
5.333 0.000 0.000
0.000 5.333 0.000
0.000 0.000 6.976
K Ca La
2 1 1
Direct
0.000 0.500 0.000
0.500 0.000 0.000
0.000 0.000 0.500
0.500 0.500 0.500
```

*x*
Below is a relaxed structure of K2CaLa, with properties calculated at the PBE-GGA level.

Structure (POSCAR):
```
K2CaLa
1.0
6.734 -1.876 0.000
6.734 1.876 0.000
-0.600 0.000 8.042
K Ca La
2 1 1
Direct
0.000 0.000 0.000
0.245 0.245 0.753
0.755 0.755 0.293
0.493 0.493 0.470
```

Bottom line: *x*, by a margin of 7.5 kJ/mol of atoms.

*w*
Below is a relaxed structure of KCaLa, with properties calculated at the PBE-GGA level.

Structure (POSCAR):
```
KCaLa
1.0
21.057 0.000 0.000
0.000 1.935 3.349
0.000 -1.935 3.349
K Ca La
2 2 2
Direct
0.177 0.000 0.000
0.823 0.000 0.000
0.000 0.667 0.667
0.500 0.999 0.999
0.354 0.665 0.665
0.646 0.665 0.665
```

*x*
Below is a relaxed structure of KCaLa, with properties calculated at the PBE-GGA level.

Structure (POSCAR):
```
KCaLa
1.0
-1.841 3.096 6.070
1.841 -3.096 6.070
1.841 3.096 -6.070
K Ca La
1 1 1
Direct
0.000 0.000 0.000
0.322 0.322 0.000
0.674 0.674 0.000
```

Bottom line: *w*, by a margin of 14.9 kJ/mol of atoms.

*w*
Below is a relaxed structure of KCaLa2, with properties calculated at the PBE-GGA level.

Structure (POSCAR):
```
KCaLa2
1.0
1.896 1.095 13.720
-1.896 1.095 13.720
0.000 -2.189 13.720
K Ca La
1 1 2
Direct
0.000 0.000 0.000
0.500 0.500 0.500
0.242 0.242 0.242
0.758 0.758 0.758
```

*x*
Below is a relaxed structure of KCaLa2, with properties calculated at the PBE-GGA level.

Structure (POSCAR):
```
KCaLa2
1.0
0.000 4.408 4.408
4.408 0.000 4.408
4.408 4.408 0.000
K Ca La
1 1 2
Direct
0.000 0.000 0.000
0.250 0.250 0.250
0.500 0.500 0.500
0.750 0.750 0.750
```

*y*
Below is a relaxed structure of KCaLa2, with properties calculated at the PBE-GGA level.

Structure (POSCAR):
```
KCaLa2
1.0
3.650 0.000 0.000
0.000 3.650 0.000
0.000 0.000 12.990
K Ca La
1 1 2
Direct
0.000 0.000 0.000
0.000 0.000 0.500
0.500 0.500 0.275
0.500 0.500 0.725
```

*z*
Below is a relaxed structure of KCaLa2, with properties calculated at the PBE-GGA level.

Structure (POSCAR):
```
KCaLa2
1.0
-2.478 2.478 13.854
2.478 -2.478 13.854
2.478 2.478 -13.854
K Ca La
2 2 4
Direct
0.000 0.000 0.000
0.750 0.250 0.500
0.250 0.750 0.500
0.500 0.500 0.000
0.134 0.625 0.009
0.375 0.384 0.509
0.616 0.125 0.991
0.875 0.866 0.491
```

Bottom line: *w*, by a margin of 7.3 kJ/mol of atoms.

*w*
Below is a relaxed structure of KCaLa2, with properties calculated at the PBE-GGA level.

Structure (POSCAR):
```
KCaLa2
1.0
3.824 0.000 0.000
0.000 3.824 0.000
0.000 0.000 12.143
K Ca La
1 1 2
Direct
0.000 0.000 0.000
0.500 0.500 0.711
0.000 0.000 0.487
0.500 0.500 0.285
```

*x*
Below is a relaxed structure of KCaLa2, with properties calculated at the PBE-GGA level.

Structure (POSCAR):
```
KCaLa2
1.0
2.043 -3.169 0.000
2.043 3.169 0.000
0.000 0.000 13.518
K Ca La
1 1 2
Direct
0.000 0.000 0.000
0.500 0.500 0.277
0.000 0.000 0.516
0.500 0.500 0.722
```

*y*
Below is a relaxed structure of KCaLa2, with properties calculated at the PBE-GGA level.

Structure (POSCAR):
```
KCaLa2
1.0
-2.825 2.825 5.402
2.825 -2.825 5.402
2.825 2.825 -5.402
K Ca La
1 1 2
Direct
0.000 0.000 0.000
0.750 0.250 0.500
0.250 0.750 0.500
0.500 0.500 0.000
```

Bottom line: *w*, by a margin of 3.3 kJ/mol of atoms.

*w*
Below is a relaxed structure of KCaLa2, with properties calculated at the PBE-GGA level.

Structure (POSCAR):
```
KCaLa2
1.0
3.703 -6.310 0.000
3.703 6.310 0.000
0.000 0.000 3.650
K Ca La
1 1 2
Direct
0.000 0.000 0.000
0.500 0.500 0.000
0.000 0.500 0.500
0.500 0.000 0.500
```

*x*
Below is a relaxed structure of KCaLa2, with properties calculated at the PBE-GGA level.

Structure (POSCAR):
```
KCaLa2
1.0
5.242 0.000 0.000
0.000 5.242 0.000
0.000 0.000 6.243
K Ca La
1 1 2
Direct
0.000 0.000 0.000
0.500 0.500 0.000
0.000 0.500 0.500
0.500 0.000 0.500
```

Bottom line: *w*, by a margin of 2.6 kJ/mol of atoms.

*w*
Below is a relaxed structure of KCaLa2, with properties calculated at the PBE-GGA level.

Structure (POSCAR):
```
KCaLa2
1.0
6.422 -1.845 0.000
6.422 1.845 0.000
-1.100 0.000 7.215
K Ca La
1 1 2
Direct
0.000 0.000 0.000
0.760 0.760 0.248
0.236 0.236 0.692
0.513 0.513 0.514
```

*x*
Below is a relaxed structure of KCaLa2, with properties calculated at the PBE-GGA level.

Structure (POSCAR):
```
KCaLa2
1.0
0.000 4.410 4.410
4.410 0.000 4.410
4.410 4.410 0.000
K Ca La
1 1 2
Direct
0.000 0.000 0.000
0.500 0.500 0.500
0.250 0.250 0.250
0.750 0.750 0.750
```

*y*
Below is a relaxed structure of KCaLa2, with properties calculated at the PBE-GGA level.

Structure (POSCAR):
```
KCaLa2
1.0
6.782 -1.851 0.000
6.782 1.851 0.000
-0.723 0.000 6.819
K Ca La
1 1 2
Direct
0.000 0.000 0.000
0.500 0.500 0.500
0.248 0.248 0.716
0.752 0.752 0.284
```

Bottom line: *y*, by a margin of 1.3 kJ/mol of atoms.

*w*
Below is a relaxed structure of KCaLa2, with properties calculated at the PBE-GGA level.

Structure (POSCAR):
```
KCaLa2
1.0
-1.980 3.172 6.756
1.980 -3.172 6.756
1.980 3.172 -6.756
K Ca La
1 1 2
Direct
0.000 0.000 0.000
0.500 0.500 0.000
0.260 0.760 0.500
0.740 0.240 0.500
```

*x*
Below is a relaxed structure of KCaLa2, with properties calculated at the PBE-GGA level.

Structure (POSCAR):
```
KCaLa2
1.0
2.005 -3.101 0.000
2.005 3.101 0.000
0.000 0.000 13.662
K Ca La
1 1 2
Direct
0.000 0.000 0.000
0.000 0.000 0.500
0.500 0.500 0.272
0.500 0.500 0.728
```

*y*
Below is a relaxed structure of KCaLa2, with properties calculated at the PBE-GGA level.

Structure (POSCAR):
```
KCaLa2
1.0
-2.626 2.626 6.218
2.626 -2.626 6.218
2.626 2.626 -6.218
K Ca La
1 1 2
Direct
0.000 0.000 0.000
0.500 0.500 0.000
0.250 0.750 0.500
0.750 0.250 0.500
```

*z*
Below is a relaxed structure of KCaLa2, with properties calculated at the PBE-GGA level.

Structure (POSCAR):
```
KCaLa2
1.0
3.671 0.000 0.000
0.000 6.682 0.000
-0.559 0.000 6.971
K Ca La
1 1 2
Direct
0.000 0.000 0.000
0.500 0.000 0.500
0.230 0.500 0.714
0.770 0.500 0.286
```

Bottom line: *x*, by a margin of 4.8 kJ/mol of atoms.

*w*
Below is a relaxed structure of KCaLa2, with properties calculated at the PBE-GGA level.

Structure (POSCAR):
```
KCaLa2
1.0
3.959 0.000 0.000
0.000 6.322 0.000
0.000 0.000 6.742
K Ca La
1 1 2
Direct
0.000 0.000 0.000
0.500 0.500 0.000
0.000 0.500 0.500
0.500 0.000 0.500
```

*x*
Below is a relaxed structure of KCaLa2, with properties calculated at the PBE-GGA level.

Structure (POSCAR):
```
KCaLa2
1.0
6.589 0.000 0.000
0.000 6.589 0.000
0.000 0.000 3.922
K Ca La
1 1 2
Direct
0.000 0.000 0.000
0.500 0.500 0.000
0.000 0.500 0.500
0.500 0.000 0.500
```

*y*
Below is a relaxed structure of KCaLa2, with properties calculated at the PBE-GGA level.

Structure (POSCAR):
```
KCaLa2
1.0
4.091 0.000 0.000
0.000 4.091 0.000
0.000 0.000 10.844
K Ca La
1 1 2
Direct
0.000 0.000 0.000
0.000 0.000 0.500
0.500 0.500 0.301
0.500 0.500 0.699
```

Bottom line: *w*, by a margin of 1.5 kJ/mol of atoms.